(1)
The following is a PBE calculation of a relaxed structure of LaMgAg, from the Alexandria database.

Unit cell a=5.0228 b=5.0228 c=3.5872 alpha=90.00 beta=90.00 gamma=120.00
Sites, in units of the cell vectors:
La 0.0000 0.0000 0.0000
Mg 0.6667 0.3333 0.5000
Ag 0.3333 0.6667 0.5000

Results
Crystal system   hexagonal
Formation energy   -0.208 eV/atom
Calculated density   5.74 g/cm³
Volume   78.4 Å³/cell
SG   P-6m2

=====

(2)
The following is a PBE calculation of a relaxed structure of Tb2H2I5, from the Alexandria database.

Unit cell a=11.2676 b=9.6816 c=8.0706 alpha=78.22 beta=57.26 gamma=44.52
Sites, in units of the cell vectors:
Tb 0.2133 0.7867 0.2133
Tb 0.7867 0.2133 0.7867
H 0.2306 0.2306 0.7694
H 0.7694 0.7694 0.2306
I 0.0000 0.0000 0.0000
I 0.1248 0.1248 0.3752
I 0.3752 0.3752 0.1248
I 0.6248 0.6248 0.8752
I 0.8752 0.8752 0.6248

Results
Crystal system   orthorhombic
Calculated density   3.21 g/cm³
Volume   494.1 Å³/cell
SG   Fmmm
Final energy   -27.5 eV per formula unit

=====

(3)
The following is a PBE calculation of a relaxed structure of Sn3PbSe6, from the Alexandria database.

Unit cell a=12.0852 b=4.0237 c=13.4074 alpha=90.00 beta=114.67 gamma=90.00
Sites, in units of the cell vectors:
Sn 0.0235 0.2500 0.1489
Sn 0.2668 0.2500 0.7394
Sn 0.4146 0.7500 0.5699
Sn 0.5854 0.2500 0.4301
Sn 0.7332 0.7500 0.2606
Sn 0.9765 0.7500 0.8511
Pb 0.3465 0.2500 0.0641
Pb 0.6535 0.7500 0.9359
Se 0.0462 0.2500 0.7464
Se 0.1551 0.7500 0.0586
Se 0.1956 0.7500 0.5809
Se 0.3492 0.2500 0.4157
Se 0.3706 0.7500 0.8999
Se 0.4953 0.2500 0.7321
Se 0.5047 0.7500 0.2679
Se 0.6294 0.2500 0.1001
Se 0.6508 0.7500 0.5843
Se 0.8044 0.2500 0.4191
Se 0.8449 0.2500 0.9414
Se 0.9538 0.7500 0.2536

Results
Crystal system   monoclinic
Calculated density   5.81 g/cm³
Volume   592.5 Å³/cell
SG   P2_1/m
Uncorrected formation energy   -355 meV per atom

=====

(4)
The following is a PBE calculation of a relaxed structure of Cs3KI4, from the Alexandria database.

Unit cell a=9.4223 b=10.8648 c=9.3977 alpha=90.00 beta=109.55 gamma=90.00
Sites, in units of the cell vectors:
Cs 0.0000 0.1237 0.2500
Cs 0.0000 0.3725 0.7500
Cs 0.0000 0.6275 0.2500
Cs 0.0000 0.8763 0.7500
Cs 0.5000 0.3730 0.2500
Cs 0.5000 0.6270 0.7500
K 0.5000 0.1223 0.7500
K 0.5000 0.8777 0.2500
I 0.2569 0.3658 0.5099
I 0.2569 0.6342 0.0099
I 0.2678 0.1153 0.9981
I 0.2678 0.8847 0.4981
I 0.7322 0.1153 0.5019
I 0.7322 0.8847 0.0019
I 0.7431 0.3658 0.9901
I 0.7431 0.6342 0.4901

Results
Crystal system   monoclinic
Calculated density   3.46 g/cm³
Volume   906.6 Å³/cell
SG   P2/c
Uncorrected formation energy   -1526 meV per atom

=====

(5)
The following is a PBE calculation of a relaxed structure of LaPuRe, from the Alexandria database.

Unit cell a=3.4593 b=3.4593 c=11.7502 alpha=90.00 beta=90.00 gamma=90.00
Sites, in units of the cell vectors:
La 0.0000 0.0000 0.0000
La 0.5000 0.5000 0.5000
Pu 0.0000 0.0000 0.2973
Pu 0.5000 0.5000 0.7973
Re 0.0000 0.0000 0.6723
Re 0.5000 0.5000 0.1723

Results
Crystal system   tetragonal
Distance to the lowest polymorph of the same formula   36 meV/atom
Formation energy   0.270 eV/atom
Calculated density   13.44 g/cm³
Volume   140.6 Å³/cell
SG   I4mm

=====

(6)
The following is a PBE calculation of a relaxed structure of Cu2ReSb, from the Alexandria database.

Unit cell a=7.1520 b=7.1520 c=5.1866 alpha=90.00 beta=90.00 gamma=90.00
Sites, in units of the cell vectors:
Cu 0.2400 0.7500 0.1250
Cu 0.2500 0.2400 0.8750
Cu 0.2500 0.2600 0.3750
Cu 0.2600 0.7500 0.6250
Cu 0.7400 0.2500 0.6250
Cu 0.7500 0.7400 0.3750
Cu 0.7500 0.7600 0.8750
Cu 0.7600 0.2500 0.1250
Re 0.0000 0.0000 0.0000
Re 0.0000 0.5000 0.2500
Re 0.5000 0.0000 0.7500
Re 0.5000 0.5000 0.5000
Sb 0.0000 0.0000 0.5000
Sb 0.0000 0.5000 0.7500
Sb 0.5000 0.0000 0.2500
Sb 0.5000 0.5000 0.0000

Results
Crystal system   tetragonal
Calculated density   10.89 g/cm³
Volume   265.3 Å³/cell
SG   I-42d
Uncorrected formation energy   700 meV per atom

=====

What is the calculated density in the first record? 5.74 g/cm³